(1)
{"formula": "ZrIn2Rh", "functional": "GGA-PBE", "state": "optimized geometry", "space_group": "Pm (6)", "energy_ev_per_cell": -22.7, "e_form_ev_per_atom": -0.318, "cell": [[3.413, 0.000, 0.000], [0.000, 3.225, 0.006], [0.000, 3.191, 7.549]], "species": ["In", "In", "Rh", "Zr"], "frac_coords": [[0.000, 0.014, 0.989], [0.500, 0.210, 0.288], [0.000, 0.489, 0.510], [0.500, 0.787, 0.714]]}

=====

(2)
{"formula": "ZrIn4Rh5", "functional": "GGA-PBE", "state": "optimized geometry", "space_group": "P4/mmm (123)", "energy_ev_per_cell": -61.5, "e_form_ev_per_atom": -0.525, "cell": [[-3.168, 0.035, -0.945], [0.932, -0.431, -3.142], [-0.744, -15.600, 1.920]], "species": ["In", "In", "In", "In", "Rh", "Rh", "Rh", "Rh", "Rh", "Zr"], "frac_coords": [[0.000, 0.000, 0.600], [0.000, 0.000, 0.400], [0.000, 0.000, 0.202], [0.000, 0.000, 0.798], [0.500, 0.500, 0.700], [0.500, 0.500, 0.300], [0.500, 0.500, 0.097], [0.500, 0.500, 0.500], [0.500, 0.500, 0.903], [0.000, 0.000, 0.000]]}

=====

(3)
{"formula": "Zr11In9Rh4", "functional": "GGA-PBE", "state": "optimized geometry", "space_group": "Cmmm (65)", "energy_ev_per_cell": -160.0, "e_form_ev_per_atom": -0.495, "cell": [[3.374, 0.000, 0.000], [0.000, 11.728, -4.908], [0.000, 0.096, 12.714]], "species": ["In", "In", "In", "In", "In", "In", "In", "In", "In", "Zr", "Zr", "Zr", "Zr", "Zr", "Zr", "Zr", "Zr", "Zr", "Zr", "Zr", "Rh", "Rh", "Rh", "Rh"], "frac_coords": [[0.500, 0.500, 0.500], [0.500, 0.218, 0.073], [0.500, 0.073, 0.218], [0.500, 0.156, 0.635], [0.500, 0.635, 0.156], [0.500, 0.844, 0.365], [0.500, 0.927, 0.782], [0.500, 0.782, 0.927], [0.500, 0.365, 0.844], [0.000, 0.586, 0.935], [0.000, 0.065, 0.414], [0.000, 0.935, 0.586], [0.000, 0.314, 0.314], [0.000, 0.153, 0.847], [0.000, 0.847, 0.153], [0.000, 0.625, 0.375], [0.000, 0.686, 0.686], [0.000, 0.000, 0.000], [0.000, 0.375, 0.625], [0.000, 0.414, 0.065], [0.500, 0.551, 0.756], [0.500, 0.756, 0.551], [0.500, 0.244, 0.449], [0.500, 0.449, 0.244]]}